TaAlNi GGA-PBE relaxed; total DFT energy (no corrections) = -7.2276 eV per atom; DOS at the Fermi energy = 2.6 states/eV/cell; symmetry = P3m1
1.0
2.8399 0.0000 0.0000
-1.4200 2.4594 0.0000
0.0000 0.0000 6.4680
Ta Al Ni
1 1 1
Direct
0.0000 0.0000 0.0000
0.3333 0.6667 0.3724
0.6667 0.3333 0.6722

***

LaTeOs2 GGA-PBE relaxed; DOS at the Fermi energy = 6.4 states/eV/cell; symmetry = Pmmm; uncorrected formation energy = 592 meV per atom
1.0
3.2635 0.0000 0.0000
0.0000 4.8219 0.0000
0.0000 0.0000 5.1679
La Te Os
1 1 2
Direct
0.0000 0.0000 0.0000
0.5000 0.0000 0.5000
0.0000 0.5000 0.5000
0.5000 0.5000 0.0000

***

SmHo14Er GGA-PBE relaxed; total DFT energy (no corrections) = -4.5811 eV per atom; DOS at the Fermi energy = 19.6 states/eV/cell; symmetry = Amm2
1.0
11.3982 0.0000 0.0000
0.0000 3.5440 6.1417
0.0000 -3.5440 6.1417
Sm Ho Er
1 14 1
Direct
0.0000 0.0000 0.0000
0.0000 0.9999 0.5002
0.0000 0.5002 0.9999
0.2497 0.3332 0.3332
0.2510 0.3335 0.8329
0.2510 0.8329 0.3335
0.2513 0.8329 0.8329
0.5000 0.1664 0.1664
0.5000 0.1663 0.6661
0.5000 0.6661 0.1663
0.5000 0.6662 0.6662
0.7490 0.3335 0.8329
0.7490 0.8329 0.3335
0.7487 0.8329 0.8329
0.7503 0.3332 0.3332
0.0000 0.5001 0.5001

***

Cs2TeS GGA-PBE relaxed; symmetry = P2_1/m; uncorrected formation energy = -860 meV per atom
1.0
5.8069 0.0000 0.0000
0.0000 9.7442 0.0000
-1.1331 0.0000 6.7601
Cs Te S
4 2 2
Direct
0.2421 0.0284 0.2324
0.2421 0.4716 0.2324
0.7579 0.5284 0.7676
0.7579 0.9716 0.7676
0.2953 0.2500 0.7515
0.7047 0.7500 0.2485
0.3850 0.7500 0.9622
0.6150 0.2500 0.0378

***

PmEr2TmTl2 GGA-PBE relaxed; total DFT energy (no corrections) = -4.1089 eV per atom; DOS at the Fermi energy = 11.7 states/eV/cell; symmetry = Pmc2_1
1.0
5.0897 0.0000 0.0000
0.0000 9.9447 0.0000
0.0000 0.0000 6.8298
Pm Er Tm Tl
2 4 2 4
Direct
0.0000 0.0438 0.0000
0.0000 0.9562 0.5000
0.0000 0.3173 0.3817
0.0000 0.6827 0.8817
0.5000 0.4547 0.0937
0.5000 0.5453 0.5937
0.5000 0.1931 0.7181
0.5000 0.8069 0.2181
0.0000 0.3674 0.8394
0.0000 0.6326 0.3394
0.5000 0.1359 0.2627
0.5000 0.8641 0.7627

***

SrAlTe2 GGA-PBE relaxed; DOS at the Fermi energy = 0.4 states/eV/cell; symmetry = Amm2; uncorrected formation energy = -869 meV per atom
1.0
4.3259 0.0000 0.0000
0.0000 2.1211 6.9379
0.0000 -2.1211 6.9379
Sr Al Te
1 1 2
Direct
0.0000 0.0000 0.0000
0.5000 0.2241 0.2241
0.0000 0.6927 0.6927
0.5000 0.4151 0.4151

***

Y3BS2 GGA-PBE relaxed; DOS at the Fermi energy = 9.8 states/eV/cell; symmetry = Fddd; uncorrected formation energy = -1481 meV per atom
1.0
0.0000 5.5105 11.6019
3.9204 0.0000 11.6019
3.9204 5.5105 0.0000
Y B S
12 4 8
Direct
0.0365 0.5382 0.1910
0.1013 0.6487 0.6487
0.1910 0.7343 0.0365
0.2657 0.8090 0.4618
0.3513 0.8987 0.8987
0.4618 0.9635 0.2657
0.5382 0.0365 0.7343
0.6487 0.1013 0.1013
0.7343 0.1910 0.5382
0.8090 0.2657 0.9635
0.8987 0.3513 0.3513
0.9635 0.4618 0.8090
0.0413 0.0413 0.2087
0.2087 0.2087 0.0413
0.7913 0.7913 0.9587
0.9587 0.9587 0.7913
0.1278 0.1278 0.6222
0.2945 0.2945 0.4555
0.3778 0.3778 0.8722
0.4555 0.4555 0.2945
0.5445 0.5445 0.7055
0.6222 0.6222 0.1278
0.7055 0.7055 0.5445
0.8722 0.8722 0.3778

***

LuThMo GGA-PBE relaxed; total DFT energy (no corrections) = -7.3866 eV per atom; DOS at the Fermi energy = 5.0 states/eV/cell; symmetry = I4mm
1.0
-1.7762 1.7762 5.9735
1.7762 -1.7762 5.9735
1.7762 1.7762 -5.9735
Lu Th Mo
1 1 1
Direct
0.0000 0.0000 0.0000
0.2811 0.2811 0.0000
0.6445 0.6445 0.0000

***

In the order shown, the computed magnetization values come out to 0.00 0.00 0.00 0.00 0.00 0.00 0.00 0.00 μB/f.u..